[1]
Lu4ZnNiN2 | OQMD | GGA-PBE | optimized geometry; calculated density = 10.3 g/cm3; total energy = -49.01 eV for the cell shown
1.0
3.367 0.000 0.000
-1.683 2.916 0.000
0.000 0.000 14.006
Lu Zn Ni N
4 1 1 2
Cartesian
0.000 0.000 1.939
0.000 0.000 12.067
1.683 0.972 4.646
1.683 0.972 9.360
0.000 0.000 7.003
1.683 0.972 0.000
0.000 1.944 3.391
0.000 1.944 10.615

---

[2]
Zr2Sc4P3C3 | OQMD | GGA-PBE | optimized geometry; calculated density = 4.3 g/cm3; total energy = -194.98 eV for the cell shown
1.0
5.160 -2.979 0.000
5.160 2.979 0.000
-3.450 0.000 12.286
Zr Sc P C
4 8 6 6
Cartesian
2.565 2.478 7.405
2.580 2.478 11.024
4.290 -2.478 1.262
4.305 -2.478 4.881
2.582 0.500 1.278
2.576 0.489 4.866
0.857 -0.500 7.421
0.851 -0.489 11.009
6.019 0.489 1.277
6.014 0.500 4.865
4.294 -0.489 7.420
4.289 -0.500 11.008
-0.851 0.511 9.214
0.874 -0.511 3.071
2.573 0.472 9.214
4.298 -0.472 3.071
5.997 0.511 9.215
7.722 -0.511 3.072
0.855 1.490 6.143
4.332 1.546 0.000
4.264 1.546 6.143
2.580 -1.490 0.000
2.607 -1.546 6.143
5.989 -1.546 0.000

---

[3]
SrMgInHg2 | OQMD | GGA-PBE | optimized geometry; calculated density = 7.6 g/cm3; total energy = -16.77 eV for the cell shown
1.0
4.589 0.000 0.000
0.000 4.589 0.000
0.000 0.000 12.988
Sr Mg In Hg
2 2 2 4
Cartesian
0.000 0.000 0.000
2.295 2.295 6.494
0.000 2.295 3.247
2.295 0.000 9.741
0.000 2.295 9.741
2.295 0.000 3.247
0.000 0.000 5.064
0.000 0.000 7.924
2.295 2.295 1.430
2.295 2.295 11.558

---

[4]
YCoSbAu | OQMD | GGA-PBE | optimized geometry; calculated density = 9.5 g/cm3; total energy = -84.26 eV for the cell shown
1.0
6.888 0.000 0.000
0.000 6.888 0.000
0.000 0.000 6.888
Y Co Sb Au
4 4 4 4
Cartesian
0.000 0.000 0.000
0.000 3.444 3.444
3.444 0.000 3.444
3.444 3.444 0.000
1.722 1.722 5.166
1.722 5.166 1.722
5.166 1.722 1.722
5.166 5.166 5.166
1.722 1.722 1.722
1.722 5.166 5.166
5.166 1.722 5.166
5.166 5.166 1.722
0.000 0.000 3.444
0.000 3.444 0.000
3.444 0.000 0.000
3.444 3.444 3.444

---

[5]
RbGdAgTe3 | OQMD | GGA-PBE | optimized geometry; calculated density = 5.6 g/cm3; total energy = -93.56 eV for the cell shown
1.0
17.148 0.000 0.000
0.000 4.363 0.000
0.000 0.000 11.557
Rb Gd Ag Te
4 4 4 12
Cartesian
4.018 1.091 0.388
4.556 3.272 6.166
12.592 1.091 5.391
13.130 3.272 11.169
0.390 1.091 3.923
8.184 3.272 9.701
8.964 1.091 1.856
16.758 3.272 7.634
0.234 3.272 1.071
8.340 1.091 6.850
8.808 3.272 4.707
16.914 1.091 10.486
1.547 3.272 10.081
1.664 1.091 6.734
2.344 3.272 2.940
6.230 1.091 8.719
6.910 3.272 0.956
7.027 1.091 4.302
10.121 3.272 7.255
10.238 1.091 10.601
10.918 3.272 2.838
14.804 1.091 8.617
15.485 3.272 4.823
15.601 1.091 1.476

---

[6]
TmGePO | OQMD | GGA-PBE | optimized geometry; calculated density = 6.8 g/cm3; total energy = -50.48 eV for the cell shown
1.0
3.959 0.000 0.000
0.000 3.959 0.000
0.000 0.000 8.948
Tm Ge P O
2 2 2 2
Cartesian
0.990 0.990 1.019
2.969 2.969 7.928
0.990 2.969 4.474
2.969 0.990 4.474
0.990 0.990 6.250
2.969 2.969 2.698
0.990 2.969 0.000
2.969 0.990 0.000

---

> Which value of total energy does entry 1 give?

-49.01 eV for the cell shown

---

> The lowest total energy belongs to which entry?

Zr2Sc4P3C3

---

> calculated density of number 1 (Lu4ZnNiN2)?

10.3 g/cm3

---

> Look up the calculated density of the sixth one.

6.8 g/cm3